HfH2N2 | the Alexandria database | PBE-GGA | relaxed; energy above the lowest structure with this stoichiometry = 6.26 kcal/mol of atoms; crystal system = tetragonal
1.0
-1.629 4.419 -0.399
-2.514 -1.269 -3.795
-2.443 -0.732 1.863
H Hf N
4 2 4
Direct
0.381 0.881 0.000
0.881 0.619 0.000
0.619 0.119 0.000
0.119 0.381 0.000
0.000 0.000 0.000
0.500 0.500 0.000
0.111 0.611 0.500
0.611 0.889 0.500
0.889 0.389 0.500
0.389 0.111 0.500

---

Ce2LuZn | the Alexandria database | PBE-GGA | relaxed; energy above the lowest structure with this stoichiometry = 0.00 kcal/mol of atoms; crystal system = tetragonal; energy relative to the elements = -0.5 kcal/mol of atoms
1.0
-0.313 0.868 5.039
1.193 -4.122 0.784
4.188 1.221 0.049
Zn Lu Ce
1 1 2
Direct
0.500 0.000 0.000
0.500 0.500 0.500
0.000 0.000 0.500
0.000 0.500 0.000

---

MgBeMo2 | the Alexandria database | PBE-GGA | relaxed; energy above the lowest structure with this stoichiometry = 10.85 kcal/mol of atoms; crystal system = cubic; energy relative to the elements = 15.4 kcal/mol of atoms
1.0
-0.115 -4.155 1.248
-2.801 -2.747 -1.857
1.448 -3.106 -2.663
Be Mo Mg
1 2 1
Direct
0.000 0.000 0.000
0.250 0.250 0.250
0.750 0.750 0.750
0.500 0.500 0.500

---

NiSnPd6 | the Alexandria database | PBE-GGA | relaxed; energy above the lowest structure with this stoichiometry = 0.00 kcal/mol of atoms; crystal system = tetragonal; energy relative to the elements = -4.7 kcal/mol of atoms
1.0
3.984 0.000 0.000
0.000 3.984 0.000
0.000 0.000 7.815
Ni Sn Pd
1 1 6
Direct
0.000 0.000 0.500
0.000 0.000 0.000
0.500 0.500 0.000
0.500 0.500 0.500
0.500 0.000 0.260
0.500 0.000 0.740
0.000 0.500 0.260
0.000 0.500 0.740

---

YGaCl3 | the Alexandria database | PBE-GGA | relaxed; energy above the lowest structure with this stoichiometry = 17.62 kcal/mol of atoms; ΔE_f (raw) = -592 meV/atom; crystal system = cubic
1.0
5.165 0.000 0.000
0.000 5.165 0.000
0.000 0.000 5.165
Y Ga Cl
1 1 3
Direct
0.500 0.500 0.500
0.000 0.000 0.000
0.000 0.500 0.000
0.000 0.000 0.500
0.500 0.000 0.000

---

ZrNb2In2Se6 | the Alexandria database | PBE-GGA | relaxed; ΔE_f (raw) = -783 meV/atom; crystal system = monoclinic
1.0
6.393 -0.039 0.127
-3.193 5.538 0.127
-1.030 -1.771 7.925
Zr Nb In Se
1 2 2 6
Direct
0.000 0.000 0.500
0.367 0.633 0.500
0.633 0.367 0.500
0.821 0.179 0.000
0.179 0.821 0.000
0.737 0.737 0.728
0.047 0.401 0.689
0.263 0.263 0.272
0.401 0.047 0.689
0.953 0.599 0.311
0.599 0.953 0.311

---

Ag4BrO2 | the Alexandria database | PBE-GGA | relaxed; ΔE_f (raw) = 56 meV/atom; crystal system = tetragonal
1.0
-5.602 2.010 4.287
-4.697 -3.156 -4.667
5.550 -3.900 2.814
Ag Br O
8 2 4
Direct
0.854 0.148 0.296
0.397 0.602 0.204
0.852 0.557 0.704
0.852 0.147 0.704
0.443 0.148 0.296
0.398 0.193 0.796
0.398 0.604 0.796
0.807 0.602 0.204
0.250 0.750 0.500
0.000 0.000 0.000
0.625 0.375 0.750
0.625 0.875 0.250
0.625 0.375 0.250
0.125 0.375 0.750

---

NaCaLa2Fe | the Alexandria database | PBE-GGA | relaxed; crystal system = tetragonal; energy relative to the elements = 2.4 kcal/mol of atoms
1.0
5.201 0.000 0.000
0.000 5.201 0.000
0.000 0.000 5.989
Na Ca Fe La
1 1 1 2
Direct
0.500 0.500 0.500
0.000 0.000 0.500
0.000 0.000 0.000
0.000 0.500 0.000
0.500 0.000 0.000

---

La2AgAs4Pt3 | the Alexandria database | PBE-GGA | relaxed; crystal system = tetragonal; energy relative to the elements = -20.1 kcal/mol of atoms
1.0
-4.327 -0.846 -1.039
-0.214 -3.032 3.358
-2.924 7.198 6.312
La Ag As Pt
2 1 4 3
Direct
0.500 0.000 0.246
0.000 0.500 0.754
0.500 0.500 0.500
0.500 0.500 0.000
0.000 0.000 0.000
0.500 0.000 0.636
0.000 0.500 0.364
0.000 0.000 0.500
0.500 0.000 0.886
0.000 0.500 0.114

---

BaCoAu2 | the Alexandria database | PBE-GGA | relaxed; energy above the lowest structure with this stoichiometry = 10.23 kcal/mol of atoms; crystal system = tetragonal; energy relative to the elements = 5.8 kcal/mol of atoms
1.0
5.564 0.002 0.000
1.943 5.213 0.000
-3.753 -2.607 3.173
Au Ba Co
2 1 1
Direct
0.000 0.000 0.000
0.250 0.750 0.500
0.500 0.500 0.000
0.750 0.250 0.500

---

ZrHgOs | the Alexandria database | PBE-GGA | relaxed; energy above the lowest structure with this stoichiometry = 0.00 kcal/mol of atoms; crystal system = tetragonal; energy relative to the elements = -0.6 kcal/mol of atoms
1.0
5.323 -0.010 0.012
4.195 3.277 0.011
1.128 0.388 3.264
Hg Os Zr
1 1 1
Direct
0.002 0.002 0.998
0.682 0.682 0.318
0.316 0.316 0.684

---

Tl2CdCl2F2 | the Alexandria database | PBE-GGA | relaxed; ΔE_f (raw) = -1530 meV/atom; crystal system = tetragonal
1.0
4.613 0.000 0.000
0.000 4.613 0.000
-2.306 -2.306 8.054
Tl Cd Cl F
2 1 2 2
Direct
0.370 0.370 0.740
0.630 0.630 0.260
0.000 0.000 0.000
0.162 0.162 0.323
0.838 0.838 0.677
0.000 0.500 0.000
0.500 0.000 0.000

---

Number 1: DFT total energy -6.292 eV per atom. Number 2: DFT total energy -4.436 eV per atom. Number 3: DFT total energy -6.078 eV per atom. Number 4: DFT total energy -5.320 eV per atom. Number 5: DFT total energy -3.598 eV per atom. Number 6: DFT total energy -5.789 eV per atom. Number 7: DFT total energy -3.229 eV per atom. Number 8: DFT total energy -4.223 eV per atom. Number 9: DFT total energy -5.814 eV per atom. Number 10: DFT total energy -3.646 eV per atom. Number 11: DFT total energy -6.719 eV per atom. Number 12: DFT total energy -3.399 eV per atom.